Arrangement one

Density functional theory data (PBE with a Hubbard U) for a relaxed structure of BaLaMnInO6.

The structure belongs to space group F-43m (No. 216); the cell edges are 8.1115, 8.1115 and 8.1115 Å and the angles 90.00°, 90.00° and 90.00°. The inequivalent atoms are Ba at (0.0000, 0.0000, 0.0000), La at (0.0000, 0.0000, 0.5000), Mn at (0.2500, 0.2500, 0.2500), In at (0.2500, 0.2500, 0.7500) and O at (0.0127, 0.2500, 0.2500).

The size of the total moment comes out at 3.0 μB per formula unit.



Arrangement two

Density functional theory data (PBE with a Hubbard U) for a relaxed structure of BaLaMnInO6.

The structure belongs to space group F-43m (No. 216); the cell edges are 8.4455, 8.4455 and 8.4455 Å and the angles 90.00°, 90.00° and 90.00°. The inequivalent atoms are Ba at (0.0000, 0.0000, 0.0000), La at (0.2500, 0.2500, 0.7500), Mn at (0.2500, 0.2500, 0.2500), In at (0.0000, 0.0000, 0.5000) and O at (0.0243, 0.2500, 0.2500).

The size of the total moment comes out at 3.0 μB per formula unit. The density of states at the Fermi level comes out at 7.32 states/eV/f.u.



Which of them is the most stable, and which is the least stable? arrangement one and arrangement two, in that order.